(1)
A relaxed Ga2Ag5Au3 crystal. Source: Alexandria via LeMat-Bulk, functional PBE-GGA.

## Properties
**Total magnetic moment**: 0.00 Bohr magnetons per cell
**Density**: 10.32 g/cm3
**E_form**: 0.09 eV per atom
**E**: -2.92 eV per atom

CIF file:
```
data_Ga2Ag5Au3
_chemical_formula_sum 'Ga8 Ag20 Au12'
_space_group_name_H-M_alt 'I b a m'
_space_group_IT_number 72
_space_group_name_Hall '-I 2 2c'
_cell_length_a 10.9818
_cell_length_b 13.1883
_cell_length_c 5.6436
_cell_angle_alpha 90.00
_cell_angle_beta 90.00
_cell_angle_gamma 90.00
loop_
_atom_site_label
_atom_site_type_symbol
_atom_site_fract_x
_atom_site_fract_y
_atom_site_fract_z
_atom_site_occupancy
Ga1 Ga 0.1136 0.1441 0.0000 1
Ag1 Ag 0.0000 0.5000 0.2500 1
Ag2 Ag 0.1256 0.3344 0.0000 1
Ag3 Ag 0.2488 0.5000 0.2500 1
Au1 Au 0.0000 0.0000 0.2500 1
Au2 Au 0.1432 0.3255 0.5000 1
```

***

(2)
A relaxed SrNd12Sm6 crystal. Source: Alexandria via LeMat-Bulk, functional PBE-GGA.

## Properties
**Total magnetic moment**: 0.00 Bohr magnetons per cell
**Density**: 6.45 g/cm3
**E_form**: 0.19 eV per atom
**E**: -4.40 eV per atom

CIF file:
```
data_SrNd12Sm6
_chemical_formula_sum 'Sr3 Nd36 Sm18'
_space_group_name_H-M_alt 'R -3 m'
_space_group_IT_number 166
_space_group_name_Hall '-R 3 2"'
_cell_length_a 13.6580
_cell_length_b 13.6580
_cell_length_c 13.0118
_cell_angle_alpha 90.00
_cell_angle_beta 90.00
_cell_angle_gamma 120.00
loop_
_atom_site_label
_atom_site_type_symbol
_atom_site_fract_x
_atom_site_fract_y
_atom_site_fract_z
_atom_site_occupancy
Sr1 Sr 0.0000 0.0000 0.0000 1
Nd1 Nd 0.0000 0.2621 0.5000 1
Nd2 Nd 0.0913 0.1827 0.2681 1
Sm1 Sm 0.0352 0.5176 0.6173 1
```

***

(3)
A relaxed Nb8Tl8O25 crystal. Source: Alexandria via LeMat-Bulk, functional PBE-GGA.

## Properties
**Total magnetic moment**: 0.00 Bohr magnetons per cell
**Density**: 7.24 g/cm3
**Energy relative to the elements, uncorrected**: -1990.6 meV per atom
**E**: -7.44 eV per atom

CIF file:
```
data_Nb8Tl8O25
_chemical_formula_sum 'Nb16 Tl16 O50'
_space_group_name_H-M_alt 'C 1 m 1'
_space_group_IT_number 8
_cell_length_a 13.2438
_cell_length_b 7.6275
_cell_length_c 13.3503
_cell_angle_alpha 90.00
_cell_angle_beta 109.12
_cell_angle_gamma 90.00
loop_
_space_group_symop_operation_xyz
'x,y,z'
'x,-y,z'
'x+1/2,y+1/2,z'
'x+1/2,-y+1/2,z'
loop_
_atom_site_label
_atom_site_type_symbol
_atom_site_fract_x
_atom_site_fract_y
_atom_site_fract_z
_atom_site_occupancy
Nb1 Nb 0.0000 0.0000 0.0000 1
Nb2 Nb 0.0004 0.2492 0.2560 1
Nb3 Nb 0.9995 0.2505 0.7542 1
Nb4 Nb 0.0002 0.5000 0.5022 1
Nb5 Nb 0.2456 0.5000 0.7554 1
Nb6 Nb 0.2469 0.0000 0.2570 1
Tl1 Tl 0.0007 0.0000 0.4993 1
Tl2 Tl 0.2429 0.5000 0.2354 1
Tl3 Tl 0.2488 0.2523 0.5003 1
Tl4 Tl 0.2523 0.0000 0.7606 1
Tl5 Tl 0.2518 0.2412 0.9988 1
Tl6 Tl 0.4885 0.0000 0.9958 1
O1 O 0.0372 0.0000 0.7374 1
O2 O 0.0367 0.5000 0.2391 1
O3 O 0.0376 0.1883 0.9226 1
O4 O 0.0388 0.3105 0.4243 1
O5 O 0.1609 0.0000 0.1125 1
O6 O 0.1611 0.3157 0.7942 1
O7 O 0.1625 0.5000 0.6081 1
O8 O 0.1636 0.1885 0.2986 1
O9 O 0.1848 0.0000 0.5566 1
O10 O 0.3498 0.0000 0.4242 1
O11 O 0.3501 0.5000 0.9221 1
O12 O 0.3524 0.3159 0.7364 1
O13 O 0.3531 0.1824 0.2388 1
O14 O 0.4760 0.1869 0.6089 1
O15 O 0.4763 0.5000 0.2999 1
O16 O 0.4773 0.3171 0.1131 1
O17 O 0.4781 0.0000 0.7945 1
```

***

(4)
A relaxed ErThInPb crystal. Source: Alexandria via LeMat-Bulk, functional PBE-GGA.

## Properties
**Total magnetic moment**: 0.00 Bohr magnetons per cell
**Density**: 10.46 g/cm3
**E_form**: -0.26 eV per atom
**E**: -4.87 eV per atom

CIF file:
```
data_ErThInPb
_chemical_formula_sum 'Er4 Th4 In4 Pb4'
_space_group_name_H-M_alt 'F -4 3 m'
_space_group_IT_number 216
_space_group_name_Hall 'F -4 2 3'
_cell_length_a 7.7091
_cell_length_b 7.7091
_cell_length_c 7.7091
_cell_angle_alpha 90.00
_cell_angle_beta 90.00
_cell_angle_gamma 90.00
loop_
_atom_site_label
_atom_site_type_symbol
_atom_site_fract_x
_atom_site_fract_y
_atom_site_fract_z
_atom_site_occupancy
Er1 Er 0.0000 0.0000 0.0000 1
Th1 Th 0.0000 0.0000 0.5000 1
In1 In 0.2500 0.2500 0.7500 1
Pb1 Pb 0.2500 0.2500 0.2500 1
```

***

(5)
A relaxed Ho3Tl2Zn2 crystal. Source: Alexandria via LeMat-Bulk, functional PBE-GGA.

## Properties
**Total magnetic moment**: 0.53 Bohr magnetons per cell
**Density**: 10.24 g/cm3
**E_form**: -0.33 eV per atom
**E**: -3.34 eV per atom

CIF file:
```
data_Ho3Tl2Zn2
_chemical_formula_sum 'Ho6 Tl4 Zn4'
_space_group_name_H-M_alt 'C m m m'
_space_group_IT_number 65
_space_group_name_Hall '-C 2 2'
_cell_length_a 4.3619
_cell_length_b 21.5096
_cell_length_c 3.5753
_cell_angle_alpha 90.00
_cell_angle_beta 90.00
_cell_angle_gamma 90.00
loop_
_atom_site_label
_atom_site_type_symbol
_atom_site_fract_x
_atom_site_fract_y
_atom_site_fract_z
_atom_site_occupancy
Ho1 Ho 0.0000 0.0000 0.0000 1
Ho2 Ho 0.0000 0.1664 0.0000 1
Tl1 Tl 0.0000 0.4177 0.5000 1
Zn1 Zn 0.0000 0.2803 0.5000 1
```

***

(6)
A relaxed Cd2C3 crystal. Source: Alexandria via LeMat-Bulk, functional PBE-GGA.

## Properties
**Total magnetic moment**: 0.83 Bohr magnetons per cell
**Density**: 5.40 g/cm3
**Excess energy over the best structure of this formula in the dataset**: 0.4710 eV/atom
**E_form**: 1.35 eV per atom
**E**: -4.55 eV per atom

CIF file:
```
data_Cd2C3
_chemical_formula_sum 'Cd6 C9'
_space_group_name_H-M_alt 'R -3 m'
_space_group_IT_number 166
_space_group_name_Hall '-R 3 2"'
_cell_length_a 2.6690
_cell_length_b 2.6690
_cell_length_c 38.9974
_cell_angle_alpha 90.00
_cell_angle_beta 90.00
_cell_angle_gamma 120.00
loop_
_atom_site_label
_atom_site_type_symbol
_atom_site_fract_x
_atom_site_fract_y
_atom_site_fract_z
_atom_site_occupancy
Cd1 Cd 0.0000 0.0000 0.1123 1
C1 C 0.0000 0.0000 0.3333 1
C2 C 0.0000 0.0000 0.5000 1
```

***

(7)
A relaxed CdTc3 crystal. Source: Alexandria via LeMat-Bulk, functional PBE-GGA.

## Properties
**Total magnetic moment**: 0.00 Bohr magnetons per cell
**Density**: 10.64 g/cm3
**Excess energy over the best structure of this formula in the dataset**: 0.1932 eV/atom
**E_form**: 0.39 eV per atom
**E**: -7.61 eV per atom

CIF file:
```
data_CdTc3
_chemical_formula_sum 'Cd4 Tc12'
_space_group_name_H-M_alt 'C m c m'
_space_group_IT_number 63
_space_group_name_Hall '-C 2c 2'
_cell_length_a 5.8393
_cell_length_b 9.5743
_cell_length_c 4.5384
_cell_angle_alpha 90.00
_cell_angle_beta 90.00
_cell_angle_gamma 90.00
loop_
_atom_site_label
_atom_site_type_symbol
_atom_site_fract_x
_atom_site_fract_y
_atom_site_fract_z
_atom_site_occupancy
Cd1 Cd 0.0000 0.1388 0.2500 1
Tc1 Tc 0.0000 0.3218 0.7500 1
Tc2 Tc 0.2119 0.4053 0.2500 1
```

***

(8)
A relaxed CeAs2Pd4 crystal. Source: Alexandria via LeMat-Bulk, functional PBE-GGA.

## Properties
**Total magnetic moment**: 1.27 Bohr magnetons per cell
**Density**: 9.57 g/cm3
**E_form**: -0.74 eV per atom
**E**: -5.89 eV per atom

CIF file:
```
data_CeAs2Pd4
_chemical_formula_sum 'Ce2 As4 Pd8'
_space_group_name_H-M_alt 'P 42/m n m'
_space_group_IT_number 136
_space_group_name_Hall '-P 4n 2n'
_cell_length_a 7.7751
_cell_length_b 7.7751
_cell_length_c 4.1102
_cell_angle_alpha 90.00
_cell_angle_beta 90.00
_cell_angle_gamma 90.00
loop_
_atom_site_label
_atom_site_type_symbol
_atom_site_fract_x
_atom_site_fract_y
_atom_site_fract_z
_atom_site_occupancy
Ce1 Ce 0.0000 0.0000 0.0000 1
As1 As 0.2190 0.2190 0.5000 1
Pd1 Pd 0.0921 0.6575 0.5000 1
```